(1)
DFT (GGA-PBE) results for KIrSe2 after structural relaxation.

POSCAR file:
```
KIrSe2
1.0
-3.701 -1.486 5.108
5.716 -3.208 -0.016
2.575 6.076 -0.202
Ir Se K
2 4 2
Direct
0.569 0.827 0.307
0.827 0.819 0.824
0.578 0.501 0.439
0.523 0.968 0.630
0.911 0.892 0.222
0.229 0.789 0.919
0.952 0.416 0.204
0.264 0.303 0.781
```

SG ... P1, No. 1

---

(2)
DFT (GGA-PBE) results for KMo2Se4 after structural relaxation.

POSCAR file:
```
KMo2Se4
1.0
3.400 0.000 -0.681
-0.276 5.840 -1.378
-0.052 0.107 8.571
Se Mo K
4 2 1
Direct
0.832 0.470 0.665
0.638 0.016 0.275
0.362 0.984 0.725
0.168 0.530 0.335
0.754 0.815 0.508
0.246 0.185 0.492
0.500 0.500 0.000
```

SG ... C2/m, No. 12

---

(3)
DFT (GGA-PBE) results for UNbSb2N after structural relaxation.

POSCAR file:
```
UNbSb2N
1.0
-2.015 -3.068 -1.037
0.905 -1.706 3.289
-11.114 5.332 5.826
Sb N U Nb
4 2 2 2
Direct
0.000 0.500 0.148
0.500 0.000 0.286
0.500 0.000 0.852
0.000 0.500 0.714
0.500 0.500 0.500
0.000 0.000 0.500
0.000 0.500 0.414
0.500 0.000 0.586
0.000 0.500 0.934
0.500 0.000 0.066
```

SG ... P4/nmm, No. 129

---

(4)
DFT (GGA-PBE) results for SrLiSnHg3 after structural relaxation.

POSCAR file:
```
SrLiSnHg3
1.0
-4.095 -4.982 2.330
5.476 -3.849 1.395
-2.441 4.642 5.636
Sr Li Hg Sn
2 2 6 2
Direct
0.250 0.691 0.382
0.750 0.309 0.618
0.250 0.934 0.868
0.750 0.066 0.132
0.250 0.138 0.275
0.000 0.271 0.000
0.000 0.729 0.000
0.500 0.271 0.000
0.750 0.862 0.725
0.500 0.729 0.000
0.250 0.352 0.703
0.750 0.648 0.297
```

SG ... Cmcm, No. 63
Formation enthalpy at 0 K ... -0.269 eV per atom

---

no.,total energy (eV per atom)
1,-4.6577
2,-5.9783
3,-8.2542
4,-1.6863